No. 1
64
Lattice="7.453 0.000 0.000 0.000 8.817 0.000 -4.834 0.000 11.573" Properties=species:S:1:pos:R:3 comment="PBE GaP3H2O10, optimized geometry" total_energy_ev_per_atom=-6.64 vol_a3_per_atom=11.884 rho_g_cm3=2.835 sg="P2_1/c, No. 14" pbc="T T T"
Ga 0.867 0.555 2.370
Ga -1.550 3.854 8.156
Ga 4.170 4.964 3.416
Ga 1.753 8.262 9.202
P -2.789 1.041 9.185
P -0.372 3.368 3.399
P -0.786 5.431 5.487
P -3.203 7.795 11.273
P -0.431 0.994 7.395
P 1.986 3.415 1.609
P 0.634 5.403 9.963
P 3.051 7.823 4.177
P 5.823 1.022 0.299
P 3.406 3.386 6.085
P 2.992 5.450 8.174
P 5.408 7.776 2.388
H -0.458 1.222 5.176
H -2.875 3.187 10.962
H -2.487 6.053 10.180
H -0.071 7.174 4.394
H 2.691 1.644 7.178
H 5.107 2.765 1.392
H 5.495 5.631 0.610
H 3.078 7.596 6.397
O -0.265 1.246 0.914
O -2.681 3.163 6.700
O -3.067 5.152 8.701
O -0.651 8.074 2.914
O -0.058 1.904 3.654
O -2.475 2.505 9.441
O -0.900 0.738 5.930
O 1.516 3.671 0.144
O -1.720 0.396 8.198
O 0.697 4.013 2.412
O -2.535 0.287 10.560
O -0.118 4.122 4.774
O -0.719 5.167 6.968
O 1.697 8.059 1.182
O -2.243 6.602 10.974
O 0.174 6.624 5.188
O 2.166 1.956 1.975
O -0.251 2.453 7.761
O -0.556 4.521 9.654
O 1.860 8.705 3.867
O 0.760 0.112 7.705
O 3.176 4.296 1.919
O 2.871 6.364 3.811
O 0.454 6.862 9.597
O 2.446 2.194 6.385
O 4.863 2.215 0.599
O 0.923 0.758 10.390
O 3.339 3.651 4.604
O 2.738 4.696 6.799
O 5.155 8.531 1.012
O 1.923 4.804 9.161
O 4.339 8.422 3.374
O 1.103 5.147 11.428
O 3.520 8.079 5.642
O 5.095 6.313 2.132
O 2.678 6.914 7.918
O 3.271 0.743 8.658
O 5.687 3.665 2.872
O 5.301 5.655 4.873
O 2.884 7.572 10.659

***

No. 2
84
Lattice="9.766 0.000 0.000 0.000 9.736 0.000 -7.639 0.000 9.615" Properties=species:S:1:pos:R:3 comment="PBE RbGa2P2H5O11, optimized geometry" total_energy_ev_per_atom=-6.01 vol_a3_per_atom=10.883 rho_g_cm3=3.400 sg="P2_1/c, No. 14" pbc="T T T"
Rb 0.382 1.887 0.970
Rb -3.438 2.981 5.778
Rb 5.565 6.755 3.837
Rb 1.745 7.849 8.644
Ga -4.095 7.081 7.833
Ga -0.276 7.523 3.025
Ga -1.944 0.436 8.372
Ga 1.876 4.432 3.565
Ga 0.251 5.304 6.050
Ga 4.071 9.300 1.243
Ga 2.402 2.213 6.589
Ga 6.222 2.655 1.782
P -5.073 0.266 8.175
P -1.253 4.602 3.368
P 2.331 6.655 1.265
P -1.489 7.948 6.073
P 3.616 1.787 3.542
P -0.204 3.081 8.350
P 3.380 5.134 6.247
P 7.199 9.470 1.440
H -1.464 1.314 3.650
H -5.284 3.554 8.457
H -1.147 0.786 5.118
H 2.673 4.082 0.311
H 0.306 0.239 3.797
H -3.514 4.629 8.605
H -2.084 5.120 7.920
H 1.735 9.484 3.113
H 4.235 1.980 0.222
H 0.416 2.888 5.029
H 1.711 6.848 4.585
H -2.108 7.756 9.393
H 0.392 0.252 6.502
H 4.211 4.616 1.695
H 5.641 5.107 1.010
H 1.821 9.497 5.817
H -0.546 5.654 9.304
H 3.273 8.949 4.497
H 7.411 6.182 1.157
H 3.591 8.422 5.965
O -5.204 6.040 6.571
O -1.384 8.563 1.764
O -1.471 5.995 2.685
O -5.291 8.608 7.493
O 0.884 7.105 1.536
O -2.936 7.498 6.343
O -5.158 6.507 9.355
O -1.339 8.097 4.548
O -3.723 0.860 7.679
O 0.096 4.007 2.872
O 2.567 0.081 0.114
O -1.252 4.787 4.921
O -0.803 1.361 4.394
O -4.623 3.507 9.202
O -3.017 5.379 8.153
O 0.802 9.225 3.346
O 2.587 5.229 1.895
O -1.233 9.375 6.702
O 0.986 6.265 4.250
O -2.834 8.338 9.057
O -1.256 2.131 7.726
O 2.564 2.737 2.919
O -0.437 6.999 6.696
O 3.383 7.605 1.889
O 4.961 1.398 0.558
O 1.141 3.470 5.365
O 3.360 0.361 2.912
O -0.460 4.507 7.720
O 1.324 0.511 6.269
O 5.144 4.357 1.462
O 6.750 6.229 0.413
O 2.930 8.375 5.220
O 3.379 4.949 4.694
O -0.441 9.654 9.501
O 2.031 5.728 6.743
O 5.850 8.875 1.936
O 3.465 1.639 5.067
O 7.285 3.229 0.259
O 5.063 2.237 3.271
O 1.243 2.630 8.079
O 7.418 1.128 2.122
O 3.598 3.740 6.929
O 3.511 1.173 7.851
O 7.330 3.695 3.044

***

No. 3
20
Lattice="4.570 -5.607 0.000 4.570 5.607 0.000 -1.838 0.000 4.899" Properties=species:S:1:pos:R:3 comment="PBE PaGa2HO6, optimized geometry" total_energy_ev_per_atom=-7.07 vol_a3_per_atom=12.554 rho_g_cm3=6.183 sg="C2/c, No. 15" pbc="T T T"
Pa 3.192 3.110 3.674
Pa 4.111 -3.110 1.225
Ga 0.517 0.818 4.359
Ga 1.436 -0.818 1.909
Ga 5.867 0.818 2.990
Ga 6.786 -0.818 0.540
H 4.111 1.447 1.225
H 3.192 -1.447 3.674
O 2.547 3.450 1.783
O 1.172 0.755 0.890
O 0.253 -0.755 3.339
O 2.173 1.443 4.892
O 5.675 3.450 0.667
O 4.211 1.443 2.457
O 3.092 -1.443 2.442
O 1.628 -3.450 4.232
O 5.129 -1.443 0.007
O 7.050 0.755 1.560
O 6.131 -0.755 4.010
O 4.756 -3.450 3.117

***

No. 4
5
Lattice="4.153 0.000 0.000 0.000 4.153 0.000 0.000 0.000 7.059" Properties=species:S:1:pos:R:3 comment="PBE GaHPbO2, optimized geometry" total_energy_ev_per_atom=-3.64 vol_a3_per_atom=24.346 rho_g_cm3=4.228 sg="P4/mmm, No. 123" pbc="T T T"
Ga 0.000 0.000 0.000
H 2.076 2.076 0.000
Pb 0.000 0.000 3.530
O 0.000 2.076 3.530
O 2.076 0.000 3.530

***

No. 5
8
Lattice="-2.287 2.807 3.096 2.287 -2.807 3.096 2.287 2.807 -3.096" Properties=species:S:1:pos:R:3 comment="PBE PmGaH2O4, optimized geometry" total_energy_ev_per_atom=-6.21 vol_a3_per_atom=9.940 rho_g_cm3=5.863 sg="I222, No. 23" pbc="T T T"
Pm 0.000 0.000 0.000
Ga 0.000 0.000 3.096
H 2.287 0.000 1.992
H 0.000 2.807 1.104
O 0.985 2.049 -1.148
O 1.302 0.758 1.948
O 1.302 -0.758 4.244
O 0.985 3.565 1.148

***

No. 6
11
Lattice="2.554 1.475 4.994 -2.554 1.475 4.994 0.000 -2.949 4.994" Properties=species:S:1:pos:R:3 comment="PBE Pr2GaH2O6, optimized geometry" total_energy_ev_per_atom=-6.32 vol_a3_per_atom=10.259 rho_g_cm3=6.615 sg="R-3m, No. 166" pbc="T T T"
Pr 0.000 0.000 3.433
Pr 0.000 0.000 11.548
Ga 0.000 0.000 0.000
H 0.000 0.000 6.288
H 0.000 0.000 8.692
O 0.000 -1.439 6.263
O -1.246 0.719 6.263
O -1.246 -0.719 8.718
O 1.246 0.719 6.263
O 1.246 -0.719 8.718
O 0.000 1.439 8.718

***

No. 7
5
Lattice="3.575 0.000 0.000 0.000 3.575 0.000 0.000 0.000 5.528" Properties=species:S:1:pos:R:3 comment="PBE GaHPtO2, optimized geometry" total_energy_ev_per_atom=-4.10 vol_a3_per_atom=14.133 rho_g_cm3=6.998 sg="P4/mmm, No. 123" pbc="T T T"
Ga 0.000 0.000 0.000
H 1.788 1.788 2.764
Pt 0.000 0.000 2.764
O 0.000 1.788 0.000
O 1.788 0.000 0.000

***

No. 8
5
Lattice="6.075 0.000 0.000 0.000 6.075 0.000 0.000 0.000 4.405" Properties=species:S:1:pos:R:3 comment="PBE RbGa2HO, optimized geometry" total_energy_ev_per_atom=-1.85 vol_a3_per_atom=32.516 rho_g_cm3=2.471 sg="P4/mmm, No. 123" pbc="T T T"
Rb 0.000 0.000 0.000
Ga 0.000 3.038 0.000
Ga 3.038 0.000 0.000
H 0.000 0.000 2.202
O 3.038 3.038 2.202

***

No. 9
5
Lattice="3.972 0.000 0.000 0.000 3.972 0.000 0.000 0.000 3.252" Properties=species:S:1:pos:R:3 comment="PBE ScGaHO2, optimized geometry" total_energy_ev_per_atom=-5.87 vol_a3_per_atom=10.260 rho_g_cm3=4.780 sg="P4/mmm, No. 123" pbc="T T T"
Sc 0.000 0.000 0.000
Ga 1.986 1.986 1.626
H 1.986 1.986 0.000
O 0.000 1.986 1.626
O 1.986 0.000 1.626

***

No. 10
5
Lattice="4.018 0.000 0.000 0.000 4.018 0.000 0.000 0.000 3.591" Properties=species:S:1:pos:R:3 comment="PBE GaSnHO2, optimized geometry" total_energy_ev_per_atom=-4.87 vol_a3_per_atom=11.594 rho_g_cm3=6.343 sg="P4/mmm, No. 123" pbc="T T T"
Ga 0.000 0.000 0.000
Sn 2.009 2.009 1.796
H 0.000 0.000 1.796
O 0.000 2.009 0.000
O 2.009 0.000 0.000

***

No. 11
11
Lattice="2.485 1.435 5.001 -2.485 1.435 5.001 0.000 -2.869 5.001" Properties=species:S:1:pos:R:3 comment="PBE Tb2GaH2O6, optimized geometry" total_energy_ev_per_atom=-6.31 vol_a3_per_atom=9.723 rho_g_cm3=7.539 sg="R-3m, No. 166" pbc="T T T"
Tb 0.000 0.000 3.301
Tb 0.000 0.000 11.701
Ga 0.000 0.000 0.000
H 0.000 0.000 6.324
H 0.000 0.000 8.678
O -1.225 -0.707 8.679
O 0.000 -1.415 6.323
O -1.225 0.707 6.323
O 1.225 -0.707 8.679
O 0.000 1.415 8.679
O 1.225 0.707 6.323

***

No. 12
8
Lattice="-2.284 2.754 3.007 2.284 -2.754 3.007 2.284 2.754 -3.007" Properties=species:S:1:pos:R:3 comment="PBE TbGaH2O4, optimized geometry" total_energy_ev_per_atom=-6.22 vol_a3_per_atom=9.458 rho_g_cm3=6.467 sg="I222, No. 23" pbc="T T T"
Tb 0.000 0.000 0.000
Ga 0.000 0.000 3.007
H 2.284 0.000 1.899
H 0.000 2.754 1.108
O 0.982 1.998 -1.150
O 1.302 0.757 1.857
O 1.302 -0.757 4.156
O 0.982 3.511 1.150

***

No. 13
5
Lattice="4.974 0.000 0.000 0.000 4.974 0.000 0.000 0.000 3.760" Properties=species:S:1:pos:R:3 comment="PBE Ga2TcHO, optimized geometry" total_energy_ev_per_atom=-4.83 vol_a3_per_atom=18.606 rho_g_cm3=4.542 sg="P4/mmm, No. 123" pbc="T T T"
Ga 0.000 2.487 0.000
Ga 2.487 0.000 0.000
Tc 0.000 0.000 0.000
H 2.487 2.487 1.880
O 0.000 0.000 1.880

***

No. 14
46
Lattice="4.772 2.755 6.716 -4.772 2.755 6.716 0.000 -5.510 6.716" Properties=species:S:1:pos:R:3 comment="PBE Ga2Te3H6O12, optimized geometry" total_energy_ev_per_atom=-5.33 vol_a3_per_atom=11.515 rho_g_cm3=4.516 sg="R3c, No. 161" pbc="T T T"
Ga 0.000 0.000 0.000
Ga 0.000 0.000 4.960
Ga 0.000 0.000 10.074
Ga 0.000 0.000 15.034
Te -4.367 0.467 9.141
Te 1.779 -4.015 9.141
Te -0.405 -2.288 12.499
Te -1.779 1.494 12.499
Te 2.184 0.794 12.499
Te 2.588 3.549 9.141
H -2.949 1.008 5.687
H -1.822 -1.747 9.045
H 0.602 -3.058 5.687
H -1.383 -0.678 7.906
H 1.279 -0.859 7.906
H 0.104 1.537 7.906
H -0.602 2.452 9.045
H 2.348 2.050 5.687
H 2.424 -0.705 9.045
H -1.279 -0.859 17.980
H -0.104 1.537 17.980
H 1.383 -0.678 17.980
O -1.022 -4.189 7.730
O -0.645 -1.504 3.820
O -4.337 -1.240 12.100
O -1.668 -0.287 6.061
O -0.980 1.311 3.820
O -3.117 2.980 7.730
O -1.095 -1.133 8.742
O 1.083 -1.300 6.061
O 1.625 0.193 3.820
O -1.654 0.225 11.088
O 0.585 1.588 6.061
O -0.434 1.515 8.742
O 0.632 -1.545 11.088
O -1.625 0.193 13.894
O 1.529 -0.382 8.742
O -1.083 -1.300 16.135
O 0.645 -1.504 13.894
O 1.022 1.320 11.088
O 3.242 -3.136 12.100
O -0.585 1.588 16.135
O 0.980 1.311 13.894
O 4.139 1.210 7.730
O 1.668 -0.287 16.135
O 1.095 4.376 12.100

***

No. 15
10
Lattice="4.963 0.000 0.000 2.226 4.631 0.000 2.461 1.435 4.835" Properties=species:S:1:pos:R:3 comment="PBE UGaH2O6, optimized geometry" total_energy_ev_per_atom=-6.90 vol_a3_per_atom=11.113 rho_g_cm3=6.063 sg="P1, No. 1" pbc="T T T"
U 0.000 0.000 0.000
Ga 4.879 2.909 2.410
H 2.636 2.219 1.438
H 8.004 4.152 3.507
O 4.012 4.330 3.513
O 3.249 2.970 1.266
O 3.964 1.509 3.643
O 5.692 4.280 1.162
O 6.409 2.794 3.615
O 5.604 1.466 1.283